(1)
# Co3Pt, relaxed, DFT PBEsol
# Total magnetic moment ... 21.68 μB per cell
# Energy ... -7.561 eV/atom
# Energy of formation ... -18 meV/atom
data_Co3Pt
_chemical_formula_sum 'Co12 Pt4'
_cell_length_a 4.4589
_cell_length_b 8.2045
_cell_length_c 5.1263
_cell_angle_alpha 90.00
_cell_angle_beta 90.00
_cell_angle_gamma 90.00
_symmetry_space_group_name_H-M 'P n m a'
_symmetry_Int_Tables_number 62
_symmetry_space_group_name_Hall '-P 2ac 2n'
loop_
_atom_site_label
_atom_site_fract_x
_atom_site_fract_y
_atom_site_fract_z
Co1 0.0801 0.2500 0.1234
Co2 0.2371 0.5041 0.8638
Pt1 0.0752 0.2500 0.6113

=====

(2)
# CoPt, relaxed, DFT PBEsol
# Total magnetic moment ... 9.20 μB per cell
# Energy ... -7.396 eV/atom
# Energy of formation ... -45 meV/atom
data_CoPt
_chemical_formula_sum 'Co4 Pt4'
_cell_length_a 2.6549
_cell_length_b 9.7006
_cell_length_c 4.0118
_cell_angle_alpha 90.00
_cell_angle_beta 90.00
_cell_angle_gamma 90.00
_symmetry_space_group_name_H-M 'C m c m'
_symmetry_Int_Tables_number 63
_symmetry_space_group_name_Hall '-C 2c 2'
loop_
_atom_site_label
_atom_site_fract_x
_atom_site_fract_y
_atom_site_fract_z
Co1 0.0000 0.0648 0.2500
Pt1 0.0000 0.3306 0.2500

=====

> Among the records above, which one has the lowest total magnetic moment?

CoPt

=====

> What is the formula in the second record?

CoPt

=====

> Look up the energy of formation of the first one.

-18 meV/atom